1.
VASP calculation (PBE) on La2Sn2Ge after structural relaxation.

Cell lengths 7.8862, 7.8862, 4.7515 Å; angles 90.00, 90.00, 90.00 degrees
With the nearest neighbours (Å) after each atom.
Fractional positions:
1 La 0.1758 0.3242 0.0000  6 Sn 3.21-3.41
2 La 0.3242 0.8242 0.0000  6 Sn 3.21-3.41
3 La 0.6758 0.1758 0.0000  6 Sn 3.21-3.41
4 La 0.8242 0.6758 0.0000  6 Sn 3.21-3.41
5 Sn 0.1303 0.6303 0.5000  1 Sn 2.91, 2 Ge 3.09, 2 La 3.21
6 Sn 0.3697 0.1303 0.5000  1 Sn 2.91, 2 Ge 3.09, 2 La 3.21
7 Sn 0.6303 0.8697 0.5000  1 Sn 2.91, 2 Ge 3.09, 2 La 3.21
8 Sn 0.8697 0.3697 0.5000  1 Sn 2.91, 2 Ge 3.09, 2 La 3.21
9 Ge 0.0000 0.0000 0.5000  4 Sn 3.09
10 Ge 0.5000 0.5000 0.5000  4 Sn 3.09

**Density of states at the Fermi level**: 5.77 states/eV per cell
**Excess energy over the best structure of this formula in the dataset**: 0 meV/atom
**Magnetic moment**: 0.0 μB/cell
**Formation enthalpy at 0 K**: -0.635 eV/atom

=====

2.
VASP calculation (PBE) on La4SnGeTe2 after structural relaxation.

Cell lengths 7.9335, 4.5590, 7.9691 Å; angles 90.00, 109.25, 90.00 degrees
With the nearest neighbours (Å) after each atom.
Fractional positions:
1 La 0.2354 0.0000 0.2291  2 Ge 3.13, 1 Sn 3.20, 3 Te 3.29-3.36
2 La 0.2466 0.5000 0.7641  1 Ge 3.13, 2 Sn 3.21, 3 Te 3.28-3.36
3 La 0.7534 0.5000 0.2359  1 Ge 3.13, 2 Sn 3.21, 3 Te 3.28-3.36
4 La 0.7646 0.0000 0.7709  2 Ge 3.13, 1 Sn 3.20, 3 Te 3.29-3.36
5 Sn 0.5000 0.0000 0.0000  6 La 3.20-3.21
6 Ge 0.0000 0.5000 0.0000  6 La 3.13
7 Te 0.0000 0.0000 0.5000  6 La 3.28-3.29
8 Te 0.5000 0.5000 0.5000  6 La 3.36

**Density of states at the Fermi level**: 1.94 states/eV per cell
**Uncorrected energy**: -5.560 eV per atom
**Magnetic moment**: 0.0 μB/cell

=====

3.
VASP calculation (PBE) on La6Sn2GeTe3 after structural relaxation.

Cell lengths 10.2938, 10.2938, 9.2443 Å; angles 103.19, 103.19, 25.69 degrees
With the nearest neighbours (Å) after each atom.
Fractional positions:
1 La 0.0013 0.0013 0.2317  2 Ge 3.13, 1 Sn 3.22, 3 Te 3.31-3.38
2 La 0.3320 0.3320 0.4213  3 Sn 3.22-3.23, 3 Te 3.28-3.29
3 La 0.3407 0.3407 0.9157  1 Ge 3.11, 2 Sn 3.22, 3 Te 3.29-3.37
4 La 0.6593 0.6593 0.0843  1 Ge 3.11, 2 Sn 3.22, 3 Te 3.29-3.37
5 La 0.6680 0.6680 0.5787  3 Sn 3.22-3.23, 3 Te 3.28-3.29
6 La 0.9987 0.9987 0.7683  2 Ge 3.13, 1 Sn 3.22, 3 Te 3.31-3.38
7 Sn 0.1663 0.1663 0.3325  6 La 3.22-3.23
8 Sn 0.8337 0.8337 0.6675  6 La 3.22-3.23
9 Ge 0.5000 0.5000 0.0000  6 La 3.11-3.13
10 Te 0.1681 0.1681 0.8343  6 La 3.29-3.37
11 Te 0.5000 0.5000 0.5000  6 La 3.28-3.38
12 Te 0.8319 0.8319 0.1657  6 La 3.29-3.37

**Density of states at the Fermi level**: 3.78 states/eV per cell
**Uncorrected energy**: -5.524 eV per atom
**Magnetic moment**: 0.0 μB/cell